Density functional theory data (PBE-GGA) for a geometry-optimized ErTcAs2 structure.

The structure in POSCAR format:
```
ErTcAs2
1.0
0.000 3.285 3.285
3.285 0.000 3.285
3.285 3.285 0.000
Er Tc As
1 1 2
Direct
0.000 0.000 0.000
0.500 0.500 0.500
0.250 0.250 0.250
0.750 0.750 0.750
```

Properties
Mass density, g/cm³: 9.72
Excess energy over the best structure of this formula in the dataset, meV per atom: 0
Total magnetic moment, μB per formula unit: 0.00
DFT formation energy, eV/atom: -0.488